i) # Ca2PmZn | Alexandria via LeMat-Bulk | PBE | optimized geometry
# magnetization = 0.000 μB/atom
data_Ca2PmZn
_chemical_formula_sum 'Ca6 Pm3 Zn3'
_symmetry_space_group_name_H-M 'R -3 m'
_symmetry_Int_Tables_number 166
_symmetry_space_group_name_Hall '-R 3 2"'
_cell_length_a 3.6227
_cell_length_b 3.6227
_cell_length_c 35.0660
_cell_angle_alpha 90.00
_cell_angle_beta 90.00
_cell_angle_gamma 120.00
loop_
_atom_site_label
_atom_site_type_symbol
_atom_site_fract_x
_atom_site_fract_y
_atom_site_fract_z
Ca1 Ca 0.0000 0.0000 0.1015
Pm1 Pm 0.0000 0.0000 0.0000
Zn1 Zn 0.0000 0.0000 0.5000

=====

ii) # Ca2PmZn | Alexandria via LeMat-Bulk | PBE | optimized geometry
# magnetization = 0.000 μB/atom
data_Ca2PmZn
_chemical_formula_sum 'Ca8 Pm4 Zn4'
_symmetry_space_group_name_H-M 'C m c m'
_symmetry_Int_Tables_number 63
_symmetry_space_group_name_Hall '-C 2c 2'
_cell_length_a 3.663
_cell_length_b 13.917
_cell_length_c 10.002
_cell_angle_alpha 90.00
_cell_angle_beta 90.00
_cell_angle_gamma 90.00
loop_
_atom_site_label
_atom_site_type_symbol
_atom_site_fract_x
_atom_site_fract_y
_atom_site_fract_z
Ca1 Ca 0.000 0.138 0.061
Pm1 Pm 0.000 0.441 0.250
Zn1 Zn 0.000 0.233 0.750

=====

iii) # Ca2PmZn | Alexandria via LeMat-Bulk | PBE | optimized geometry
# magnetization = 0.000 μB/atom
data_Ca2PmZn
_chemical_formula_sum 'Ca6 Pm3 Zn3'
_symmetry_space_group_name_H-M 'R 3 m'
_symmetry_Int_Tables_number 160
_symmetry_space_group_name_Hall 'R 3 -2"'
_cell_length_a 3.7668
_cell_length_b 3.7668
_cell_length_c 31.9350
_cell_angle_alpha 90.00
_cell_angle_beta 90.00
_cell_angle_gamma 120.00
loop_
_atom_site_label
_atom_site_type_symbol
_atom_site_fract_x
_atom_site_fract_y
_atom_site_fract_z
Ca1 Ca 0.0000 0.0000 0.0000
Ca2 Ca 0.0000 0.0000 0.1938
Pm1 Pm 0.0000 0.0000 0.4311
Zn1 Zn 0.0000 0.0000 0.5963

=====

It is ii) that is most stable; the runner-up trails by 98 meV/atom.